Compound: KCa2TlRh
Source: Alexandria
Functional: GGA-PBE
Structure: relaxed

Lattice parameters (Å, degrees): 5.5280 5.5280 5.4742 90.00 90.00 90.00
Space group P4/mmm (No. 123)
One atom of each set of equivalent atoms:
K 0.0000 0.0000 0.0000 [1 per cell]
Ca 0.0000 0.5000 0.5000 [2 per cell]
Tl 0.5000 0.5000 0.0000 [1 per cell]
Rh 0.5000 0.5000 0.5000 [1 per cell]

E_form: -104 kJ/mol of formula units
V: 33.5 Å³/atom